CoTcRhO6 after structural relaxation, computed with GGA+U.

Lattice parameters (Å, degrees): 4.9429 4.9429 9.2549 90.00 90.00 120.00
Each line ends with the local moment (μB).
Fractional positions:
Co 0.0000 0.0000 0.0000  2.67
Co 0.0000 0.0000 0.5000  2.67
Tc 0.6667 0.3333 0.2500  -0.09
Tc 0.3333 0.6667 0.7500  -0.09
Rh 0.3333 0.6667 0.2500  0.12
Rh 0.6667 0.3333 0.7500  0.12
O 0.6704 0.6538 0.1288  0.04
O 0.9835 0.3296 0.1288  0.04
O 0.3296 0.9835 0.6288  0.04
O 0.0165 0.6704 0.8712  0.04
O 0.3462 0.3296 0.3712  0.04
O 0.9835 0.6538 0.3712  0.04
O 0.6538 0.9835 0.8712  0.04
O 0.6704 0.0165 0.3712  0.04
O 0.0165 0.3462 0.6288  0.04
O 0.3462 0.0165 0.1288  0.04
O 0.6538 0.6704 0.6288  0.04
O 0.3296 0.3462 0.8712  0.04

Values from the calculation:
magnetization: 0.328 μB/atom
VASP energy: -0.2510 hartree per atom